# 1
A relaxed CsTaMn2Sn crystal, computed with PBE-GGA.

Cell: 5.2222 5.5278 5.2222 Å, 90.00 90.00 90.00°
Each line ends with the local moment (μB).
Sites, in units of the cell vectors:
1 Cs 0.5000 0.5000 0.5000  0.02
2 Mn 0.5000 0.0000 0.0000  3.93
3 Ta 0.0000 0.0000 0.0000  -1.02
4 Mn 0.0000 0.0000 0.5000  3.69
5 Sn 0.0000 0.5000 0.0000  0.05

Properties
E	-30.35	eV/cell
total magnetization	7.0	μB per cell
ΔE_f	940	meV per atom
D(E_F)	4.22	states/eV/f.u.
V	30.150	Å³/atom

---

# 2
A relaxed Cs2Sr2Mn crystal, computed with PBE-GGA.

Cell: 9.3016 9.3016 7.1952 Å, 90.00 90.00 90.00°
Each line ends with the local moment (μB).
Sites, in units of the cell vectors:
1 Sr 0.6782 0.8218 0.5000  -0.01
2 Sr 0.3218 0.1782 0.5000  -0.01
3 Cs 0.8546 0.6454 0.0000  -0.01
4 Cs 0.6454 0.1454 0.0000  -0.01
5 Sr 0.8218 0.3218 0.5000  -0.01
6 Mn 0.5000 0.5000 0.0000  4.19
7 Cs 0.1454 0.3546 0.0000  -0.01
8 Cs 0.3546 0.8546 0.0000  -0.01
9 Mn 0.0000 0.0000 0.0000  4.19
10 Sr 0.1782 0.6782 0.5000  -0.01

Properties
E	-20.71	eV/cell
total magnetization	8.7	μB per cell
ΔE_f	777	meV per atom
D(E_F)	8.13	states/eV/f.u.
V	62.253	Å³/atom
polymorph energy (0 for the lowest one)	0.016	eV per atom

---

# 3
A relaxed CsSrMn3 crystal, computed with PBE-GGA.

Cell: 5.5964 5.5964 5.5964 Å, 90.00 90.00 90.00°
Each line ends with the local moment (μB).
Sites, in units of the cell vectors:
1 Mn 0.0000 0.0000 0.5000  3.77
2 Mn 0.0000 0.5000 0.0000  4.06
3 Sr 0.5000 0.5000 0.5000  -0.06
4 Mn 0.5000 0.0000 0.0000  4.20
5 Cs 0.0000 0.0000 0.0000  0.03

Properties
E	-21.17	eV/cell
total magnetization	12.1	μB per cell
ΔE_f	1775	meV per atom
D(E_F)	2.45	states/eV/f.u.
V	35.056	Å³/atom
polymorph energy (0 for the lowest one)	0.223	eV per atom

---

# 4
A relaxed CsSrMn2 crystal, computed with PBE-GGA.

Cell: 5.8716 5.8716 5.8716 Å, 60.00 60.00 60.00°
Each line ends with the local moment (μB).
Sites, in units of the cell vectors:
1 Sr 0.0000 0.0000 0.0000  -0.10
2 Cs 0.5000 0.5000 0.5000  -0.02
3 Mn 0.2500 0.2500 0.2500  4.07
4 Mn 0.7500 0.7500 0.7500  4.07

Properties
E	-16.57	eV/cell
total magnetization	8.0	μB per cell
ΔE_f	1075	meV per atom
D(E_F)	10.04	states/eV/f.u.
V	35.785	Å³/atom

---

# 5
A relaxed CsSrMn3 crystal, computed with PBE-GGA.

Cell: 5.9740 5.9740 5.9740 Å, 90.00 90.00 90.00°
Each line ends with the local moment (μB).
Sites, in units of the cell vectors:
1 Sr 0.0000 0.0000 0.0000  -0.16
2 Mn 0.0000 0.5000 0.0000  4.07
3 Mn 0.0000 0.0000 0.5000  3.82
4 Cs 0.5000 0.5000 0.5000  -0.02
5 Mn 0.5000 0.0000 0.0000  4.30

Properties
E	-22.29	eV/cell
total magnetization	12.2	μB per cell
ΔE_f	1552	meV per atom
D(E_F)	2.22	states/eV/f.u.
V	42.640	Å³/atom
polymorph energy (0 for the lowest one)	0.000	eV per atom

---

# 6
A relaxed Cs2Sr2Mn crystal, computed with PBE-GGA.

Cell: 5.3799 5.3799 12.9491 Å, 78.01 78.01 90.00°
Each line ends with the local moment (μB).
Sites, in units of the cell vectors:
1 Mn 0.0000 0.0000 0.0000  4.29
2 Sr 0.7500 0.2500 0.5000  0.00
3 Cs 0.4127 0.4127 0.1746  -0.01
4 Sr 0.2500 0.7500 0.5000  0.00
5 Cs 0.5873 0.5873 0.8254  -0.01

Properties
E	-10.43	eV/cell
total magnetization	4.6	μB per cell
ΔE_f	761	meV per atom
D(E_F)	7.65	states/eV/f.u.
V	71.651	Å³/atom
polymorph energy (0 for the lowest one)	0.000	eV per atom

---

# 7
A relaxed Cs2SrMn crystal, computed with PBE-GGA.

Cell: 6.4222 6.4222 6.4222 Å, 60.00 60.00 60.00°
Each line ends with the local moment (μB).
Sites, in units of the cell vectors:
1 Cs 0.7500 0.7500 0.7500  -0.05
2 Sr 0.5000 0.5000 0.5000  -0.14
3 Mn 0.0000 0.0000 0.0000  4.12
4 Cs 0.2500 0.2500 0.2500  -0.05

Properties
E	-8.99	eV/cell
total magnetization	3.1	μB per cell
ΔE_f	891	meV per atom
D(E_F)	3.32	states/eV/f.u.
V	46.825	Å³/atom

---

# 8
A relaxed Cs2SrYMn crystal, computed with PBE-GGA.

Cell: 7.5753 5.0886 7.5753 Å, 90.00 90.00 90.00°
Each line ends with the local moment (μB).
Sites, in units of the cell vectors:
1 Sr 0.5000 0.5000 0.5000  -0.03
2 Cs 0.0000 0.0000 0.5000  -0.03
3 Y 0.0000 0.0000 0.0000  -0.52
4 Cs 0.5000 0.0000 0.0000  -0.03
5 Mn 0.0000 0.5000 0.0000  3.32

Properties
E	-14.25	eV/cell
total magnetization	2.0	μB per cell
ΔE_f	955	meV per atom
D(E_F)	5.85	states/eV/f.u.
V	58.402	Å³/atom

---

- D(E_F) of number 7 (Cs2SrMn)?
  3.32 states/eV/f.u.